Record 1
DFT (PBE) results for crystalline Si2SnCl2 at its relaxed geometry.

Properties
DOS(E_F) in states/eV/cell: 2.5
Formation energy from raw total energies in meV/atom: 314.9

```
5
Lattice="4.4525 0.0000 0.0000 0.0000 4.4525 0.0000 2.2263 2.2263 5.6214" Properties=species:S:1:pos:R:3 pbc="T T T"
Si 2.2263 2.2263 1.1470
Si 4.4525 4.4525 4.4744
Sn 0.0000 0.0000 0.0000
Cl 4.4525 2.2263 2.8107
Cl 2.2263 4.4525 2.8107
```

Record 2
DFT (PBE) results for crystalline Si2Sn2Cl at its relaxed geometry.

Properties
DOS(E_F) in states/eV/cell: 0.8
Formation energy from raw total energies in meV/atom: -24.0

```
5
Lattice="3.6995 0.0000 0.0000 0.0000 3.6995 0.0000 1.8497 1.8497 8.5996" Properties=species:S:1:pos:R:3 pbc="T T T"
Si 3.6995 1.8497 4.2998
Si 1.8497 3.6995 4.2998
Sn 1.8498 1.8498 2.0369
Sn 3.6995 3.6995 6.5627
Cl 0.0000 0.0000 0.0000
```

Record 3
DFT (PBE) results for crystalline SiSn2Cl at its relaxed geometry.

Properties
DOS(E_F) in states/eV/cell: 2.9
Formation energy from raw total energies in meV/atom: 48.7

```
4
Lattice="-4.9762 0.2422 0.7495 -2.3029 4.4767 0.1966 -3.0453 1.4330 -3.7490" Properties=species:S:1:pos:R:3 pbc="T T T"
Si 0.0000 0.0000 0.0000
Sn -2.5811 1.5380 -0.7007
Sn -7.7433 4.6139 -2.1022
Cl -5.1622 3.0759 -1.4015
```

Record 4
DFT (PBE) results for crystalline SiSnCl6 at its relaxed geometry.

Properties
DOS(E_F) in states/eV/cell: 0.0
Formation energy from raw total energies in meV/atom: -928.5

```
8
Lattice="6.7595 -0.6762 -0.1143 -3.1424 6.0228 -0.1143 -0.7744 -1.1447 6.2151" Properties=species:S:1:pos:R:3 pbc="T T T"
Si 1.4214 2.1010 2.9932
Sn 0.0000 0.0000 0.0000
Cl 0.4148 0.6131 4.3549
Cl 2.2242 0.4189 1.7568
Cl 2.4279 3.5888 1.6316
Cl 3.2814 1.9815 4.2297
Cl 0.6185 3.7830 4.2297
Cl -0.4387 2.2204 1.7568
```

Record 5
DFT (PBE) results for crystalline SiSn2Cl at its relaxed geometry.

Properties
DOS(E_F) in states/eV/cell: 5.3
Formation energy from raw total energies in meV/atom: 12.8

```
8
Lattice="9.0187 0.0000 0.0000 0.0000 9.0187 0.0000 4.5094 4.5094 2.5953" Properties=species:S:1:pos:R:3 pbc="T T T"
Si 4.5094 4.5094 0.0000
Si 4.5094 9.0187 1.2977
Sn 6.0016 2.2547 0.6488
Sn 3.0171 6.7640 0.6488
Sn 6.7640 7.5265 1.9465
Sn 11.2734 10.5110 1.9465
Cl 0.0000 0.0000 0.0000
Cl 9.0187 4.5094 1.2977
```

Record 6
DFT (PBE) results for crystalline TlSiSn2Cl at its relaxed geometry.

Properties
DOS(E_F) in states/eV/cell: 1.4
Formation energy from raw total energies in meV/atom: 602.1

```
5
Lattice="-0.3138 -1.7429 -5.0823 -2.9637 -4.4770 1.7183 -4.5675 2.7675 -0.6671" Properties=species:S:1:pos:R:3 pbc="T T T"
Tl -1.4818 -2.2385 0.8592
Si -3.9224 -1.7262 -2.0155
Sn -2.2837 1.3838 -0.3336
Sn -0.1569 -0.8715 -2.5411
Cl 0.0000 0.0000 0.0000
```

Record 7
DFT (PBE) results for crystalline Sr4SiCl at its relaxed geometry.

Properties
DOS(E_F) in states/eV/cell: 5.0
Formation energy from raw total energies in meV/atom: 291.0

```
6
Lattice="3.1265 -5.1505 3.5535 3.9123 1.4910 5.6037 -2.2580 -1.7074 6.3966" Properties=species:S:1:pos:R:3 pbc="T T T"
Sr 3.3665 -4.6086 7.6076
Sr 0.6450 -2.8683 9.0446
Sr 3.7637 -1.2517 8.6439
Sr 1.7863 -2.0053 5.8115
Si 0.0000 0.0000 0.0000
Cl 3.5856 -4.0252 11.6654
```

Record 8
DFT (PBE) results for crystalline Sr2Si2Cl at its relaxed geometry.

Properties
DOS(E_F) in states/eV/cell: 2.3
Formation energy from raw total energies in meV/atom: -982.5

```
5
Lattice="-3.4638 1.6344 1.6939 2.6636 -2.1990 2.3682 5.6635 6.7609 -0.0936" Properties=species:S:1:pos:R:3 pbc="T T T"
Sr -0.3870 2.0898 2.3633
Sr 5.2503 4.1066 1.6051
Si 2.2351 3.7529 0.9619
Si 2.6283 2.4435 3.0065
Cl 0.0000 0.0000 0.0000
```